Entry 1:
VASP calculation (PBE) on crystalline Sc2WBr at its relaxed geometry.

Space group: No. 71
Energy relative to the elements, uncorrected in eV per atom: 0.366
Distance to the lowest polymorph of the same formula in meV per atom: 637

Cell lengths 5.4767, 5.4767, 5.4767 Å; angles 144.27, 120.32, 71.54 degrees
With the nearest neighbours (Å) after each atom.
Atoms (fractional coordinates):
Sc1 0.2482 0.2482 0.0000  2 Br 2.77, 2 W 2.80
Sc2 0.7518 0.7518 0.0000  2 Br 2.77, 2 W 2.80
W1 0.5000 0.0000 0.5000  4 Sc 2.80
Br1 0.0000 0.5000 0.5000  4 Sc 2.77


Entry 2:
VASP calculation (PBE) on crystalline Os2RhAu at its relaxed geometry.

Space group: No. 225
Distance to the lowest polymorph of the same formula in meV per atom: 650

Cell lengths 4.4291, 4.4291, 4.4291 Å; angles 60.00, 60.00, 60.00 degrees
With the nearest neighbours (Å) after each atom.
Atoms (fractional coordinates):
Os1 0.2500 0.2500 0.2500  4 Rh 2.71, 4 Au 2.71
Os2 0.7500 0.7500 0.7500  4 Rh 2.71, 4 Au 2.71
Rh1 0.0000 0.0000 0.0000  8 Os 2.71
Au1 0.5000 0.5000 0.5000  8 Os 2.71


Entry 3:
VASP calculation (PBE) on crystalline YTaNb3 at its relaxed geometry.

Space group: No. 221
Distance to the lowest polymorph of the same formula in meV per atom: 0

Cell lengths 4.9677, 4.9677, 4.9677 Å; angles 90.00, 90.00, 90.00 degrees
With the nearest neighbours (Å) after each atom.
Atoms (fractional coordinates):
Y1 0.0000 0.0000 0.0000  12 Nb 3.51
Ta1 0.5000 0.5000 0.5000  6 Nb 2.48
Nb1 0.0000 0.5000 0.5000  2 Ta 2.48
Nb2 0.5000 0.0000 0.5000  2 Ta 2.48
Nb3 0.5000 0.5000 0.0000  2 Ta 2.48


Entry 4:
VASP calculation (PBE) on crystalline La8Tb3Pr at its relaxed geometry.

Space group: No. 23

Cell lengths 9.2751, 9.2751, 9.2751 Å; angles 139.89, 121.79, 73.05 degrees
With the nearest neighbours (Å) after each atom.
Atoms (fractional coordinates):
La1 0.0725 0.5647 0.1992  3 La 3.20-3.54, 1 Tb 3.57
La2 0.0784 0.7748 0.0454  1 Pr 3.18, 4 La 3.20-3.55, 1 Tb 3.37
La3 0.2706 0.2252 0.3036  1 Pr 3.18, 4 La 3.20-3.55, 1 Tb 3.37
La4 0.3656 0.8733 0.8008  3 La 3.20-3.54, 1 Tb 3.57
La5 0.6344 0.4353 0.5077  3 La 3.20-3.54, 1 Tb 3.57
La6 0.7294 0.0329 0.9546  1 Pr 3.18, 4 La 3.20-3.55, 1 Tb 3.37
La7 0.9216 0.9671 0.6964  1 Pr 3.18, 4 La 3.20-3.55, 1 Tb 3.37
La8 0.9275 0.1267 0.4923  3 La 3.20-3.54, 1 Tb 3.57
Tb1 0.3854 0.3854 0.0000  3 Tb 3.42-3.61, 6 La 3.57-3.78
Tb2 0.5000 0.0000 0.5000  4 La 3.37, 4 Tb 3.61
Tb3 0.6146 0.6146 0.0000  3 Tb 3.42-3.61, 6 La 3.57-3.78
Pr1 0.0000 0.5000 0.5000  4 La 3.18


| no. | total DFT energy (no corrections) (eV per atom) | DOS at the Fermi energy (states/eV per cell) |
| --- | --- | --- |
| 1 | -6.46 | 5.36 |
| 2 | -7.41 | 5.53 |
| 3 | -8.72 | 3.78 |
| 4 | -4.59 | 17.63 |